Here is a relaxed CdSbMo crystal from Alexandria. Energies are from PBE.

Results
The formation energy from raw total energies comes out at 575 meV per atom. The value obtained for the total magnetic moment is 4.6 μB per cell. Its energy above the most stable polymorph in this dataset is 0.257 eV/atom.

Geometry as CIF:
```
data_CdSbMo
_space_group_name_H-M_alt 'F -4 3 m'
_space_group_IT_number 216
_space_group_name_Hall 'F -4 2 3'
_cell_length_a 6.541
_cell_length_b 6.541
_cell_length_c 6.541
_cell_angle_alpha 90.00
_cell_angle_beta 90.00
_cell_angle_gamma 90.00
loop_
_atom_site_label
_atom_site_type_symbol
_atom_site_fract_x
_atom_site_fract_y
_atom_site_fract_z
Cd1 Cd 0.000 0.000 0.000
Sb1 Sb 0.000 0.000 0.500
Mo1 Mo 0.250 0.250 0.250
```

=====

Here is a relaxed Pm5Tm4In4 crystal from Alexandria. Energies are from PBE.

Results
For the energy relative to the elements, the calculation gives -308 meV/atom. The value obtained for the total magnetic moment is 0.0 μB per cell.

Geometry as CIF:
```
data_Pm5Tm4In4
_space_group_name_H-M_alt 'I 4/m'
_space_group_IT_number 87
_space_group_name_Hall '-I 4'
_cell_length_a 12.452
_cell_length_b 12.452
_cell_length_c 5.046
_cell_angle_alpha 90.00
_cell_angle_beta 90.00
_cell_angle_gamma 90.00
loop_
_atom_site_label
_atom_site_type_symbol
_atom_site_fract_x
_atom_site_fract_y
_atom_site_fract_z
Pm1 Pm 0.000 0.000 0.000
Pm2 Pm 0.101 0.808 0.500
Tm1 Tm 0.095 0.602 0.000
In1 In 0.099 0.239 0.000
```

=====

Here is a relaxed Li2CuAgSb crystal from Alexandria. Energies are from PBE.

Results
The formation energy from raw total energies comes out at 94 meV per atom. The value obtained for the total magnetic moment is 0.0 μB per cell.

Geometry as CIF:
```
data_Li2CuAgSb
_space_group_name_H-M_alt 'P 4/m m m'
_space_group_IT_number 123
_space_group_name_Hall '-P 4 2'
_cell_length_a 4.689
_cell_length_b 4.689
_cell_length_c 4.760
_cell_angle_alpha 90.00
_cell_angle_beta 90.00
_cell_angle_gamma 90.00
loop_
_atom_site_label
_atom_site_type_symbol
_atom_site_fract_x
_atom_site_fract_y
_atom_site_fract_z
Li1 Li 0.000 0.500 0.000
Cu1 Cu 0.000 0.000 0.000
Ag1 Ag 0.500 0.500 0.500
Sb1 Sb 0.000 0.000 0.500
```

=====

Here is a relaxed Nb3CoP crystal from Alexandria. Energies are from PBE.

Results
For the energy relative to the elements, the calculation gives 560 meV/atom. The value obtained for the total magnetic moment is 0.0 μB per cell. Its energy above the most stable polymorph in this dataset is 0.000 eV/atom.

Geometry as CIF:
```
data_Nb3CoP
_space_group_name_H-M_alt 'P m -3 m'
_space_group_IT_number 221
_space_group_name_Hall '-P 4 2 3'
_cell_length_a 4.560
_cell_length_b 4.560
_cell_length_c 4.560
_cell_angle_alpha 90.00
_cell_angle_beta 90.00
_cell_angle_gamma 90.00
loop_
_atom_site_label
_atom_site_type_symbol
_atom_site_fract_x
_atom_site_fract_y
_atom_site_fract_z
Nb1 Nb 0.000 0.000 0.500
Co1 Co 0.500 0.500 0.500
P1 P 0.000 0.000 0.000
```

=====

Here is a relaxed Ba2SrTlPt crystal from Alexandria. Energies are from PBE.

Results
For the energy relative to the elements, the calculation gives -307 meV/atom. The value obtained for the total magnetic moment is 0.0 μB per cell. Its energy above the most stable polymorph in this dataset is 0.134 eV/atom.

Geometry as CIF:
```
data_Ba2SrTlPt
_space_group_name_H-M_alt 'P 4/m m m'
_space_group_IT_number 123
_space_group_name_Hall '-P 4 2'
_cell_length_a 6.253
_cell_length_b 6.253
_cell_length_c 5.441
_cell_angle_alpha 90.00
_cell_angle_beta 90.00
_cell_angle_gamma 90.00
loop_
_atom_site_label
_atom_site_type_symbol
_atom_site_fract_x
_atom_site_fract_y
_atom_site_fract_z
Ba1 Ba 0.000 0.500 0.000
Sr1 Sr 0.000 0.000 0.500
Tl1 Tl 0.500 0.500 0.500
Pt1 Pt 0.500 0.500 0.000
```

=====

Here is a relaxed LiNdEr2Cd4 crystal from Alexandria. Energies are from PBE.

Results
For the energy relative to the elements, the calculation gives -259 meV/atom. The value obtained for the total magnetic moment is 0.0 μB per cell.

Geometry as CIF:
```
data_LiNdEr2Cd4
_space_group_name_H-M_alt 'R -3 m'
_space_group_IT_number 166
_space_group_name_Hall '-R 3 2"'
_cell_length_a 5.1817
_cell_length_b 5.1817
_cell_length_c 26.0325
_cell_angle_alpha 90.00
_cell_angle_beta 90.00
_cell_angle_gamma 120.00
loop_
_atom_site_label
_atom_site_type_symbol
_atom_site_fract_x
_atom_site_fract_y
_atom_site_fract_z
Li1 Li 0.0000 0.0000 0.0000
Nd1 Nd 0.0000 0.0000 0.5000
Er1 Er 0.0000 0.0000 0.2533
Cd1 Cd 0.0000 0.0000 0.1154
Cd2 Cd 0.0000 0.0000 0.3725
```

=====

| no. | final energy (eV/cell) |
| --- | --- |
| 1 | -56.58 |
| 2 | -113.20 |
| 3 | -14.43 |
| 4 | -39.93 |
| 5 | -15.47 |
| 6 | -64.61 |